a) Below is an optimized crystal structure of Ce3HoPb4, with properties calculated at the GGA-PBE level.

N(E_F) in states/eV per cell: 23.411
Total moment in μB per cell: 0.87

Cell lengths 6.394, 6.393, 12.783 Å; angles 90.00, 90.00, 90.00 degrees
Each line ends with the local moment (μB).
Element x y z (fractional)
Ce: 0.064 0.750 0.250  0.12
Pb: 0.064 0.250 0.250  -0.01
Ce: 0.564 0.752 0.000  0.26
Ho: 0.064 0.252 0.000  -0.02
Ce: 0.564 0.250 0.750  0.12
Pb: 0.564 0.252 0.000  0.00
Pb: 0.564 0.248 0.500  0.00
Pb: 0.064 0.748 0.500  0.00
Ce: 0.064 0.750 0.750  0.12
Ho: 0.564 0.748 0.500  -0.02
Pb: 0.564 0.750 0.750  -0.01
Pb: 0.064 0.250 0.750  -0.01
Ce: 0.064 0.248 0.500  0.26
Ce: 0.564 0.250 0.250  0.12
Pb: 0.064 0.752 0.000  0.00
Pb: 0.564 0.750 0.250  -0.01

b) Below is an optimized crystal structure of Ce3HoPb4, with properties calculated at the GGA-PBE level.

N(E_F) in states/eV per cell: 21.491
Total moment in μB per cell: 3.78

Cell lengths 5.083, 5.083, 9.733 Å; angles 105.13, 105.13, 90.00 degrees
Each line ends with the local moment (μB).
Element x y z (fractional)
Pb: 0.877 0.877 0.754  -0.02
Pb: 0.377 0.377 0.754  -0.02
Ho: 0.500 0.000 0.000  0.15
Pb: 0.123 0.123 0.246  -0.02
Ce: 0.000 0.500 0.000  0.80
Pb: 0.623 0.623 0.246  -0.02
Ce: 0.749 0.249 0.499  1.00
Ce: 0.251 0.751 0.501  1.00

Top of the stability list: b), leading by 10.0 kJ/mol of atoms.